VASP calculation (GGA-PBE) on a geometry-optimized TcPIr structure.

a = 4.584 Å, b = 2.934 Å, c = 6.417 Å
α = 90.00°, β = 100.37°, γ = 90.00°
Fractional coordinates of all 6 atoms:
Tc: 0.655 0.000 0.100
Tc: 0.745 0.500 0.475
P: 0.671 0.000 0.743
P: 0.061 0.500 0.078
Ir: 0.213 0.000 0.365
Ir: 0.269 0.500 0.776

Density ... 12562 kg/m³
Magnetic moment ... 0.000 μB/f.u.
Energy above the lowest structure with this stoichiometry ... 0.070 eV/atom
Energy relative to the elements ... -0.290 eV/atom
Uncorrected energy ... -8.5025 eV per atom